No. 1
## CaY2TePb (PBE)

Data for an optimized crystal structure of CaY2TePb.

The volume is 38.9 A^3/atom. As for the space group: No. 123. As for the formation energy without anion corrections: -70 meV/atom.

Lattice parameters (Å, degrees): 5.7859 5.8164 5.7859 90.00 90.00 90.00
Positions (direct):
Pb1 0.0000 0.0000 0.0000
Y1 0.0000 0.0000 0.5000
Y2 0.5000 0.0000 0.0000
Ca1 0.0000 0.5000 0.0000
Te1 0.5000 0.5000 0.5000

=====

No. 2
## Na2LiSe2 (PBE)

Data for an optimized crystal structure of Na2LiSe2.

The distance to the lowest polymorph of the same formula is 127 meV per atom. The volume is 22.5 A^3/atom. As for the space group: No. 127. As for the formation energy without anion corrections: -817 meV/atom.

Lattice parameters (Å, degrees): 8.1728 8.1728 3.3738 90.00 90.00 90.00
Positions (direct):
Na1 0.1249 0.6249 0.5000
Na2 0.6249 0.8751 0.5000
Na3 0.8751 0.3751 0.5000
Na4 0.3751 0.1249 0.5000
Se1 0.3224 0.8224 0.0000
Se2 0.8224 0.6776 0.0000
Se3 0.6776 0.1776 0.0000
Se4 0.1776 0.3224 0.0000
Li1 0.0000 0.0000 0.0000
Li2 0.5000 0.5000 0.0000

=====

No. 3
## Tb2Nd6Sm3Sc (PBE)

Data for an optimized crystal structure of Tb2Nd6Sm3Sc.

Its formation energy from the elements is 0.03 eV/atom. The volume is 33.3 A^3/atom. As for the space group: No. 12.

Lattice parameters (Å, degrees): 6.2782 6.2782 11.9024 95.04 95.04 120.01
Positions (direct):
Tb1 0.3334 0.6666 0.0000
Tb2 0.6666 0.3334 0.0000
Nd1 0.9185 0.5885 0.7549
Nd2 0.7513 0.7513 0.2457
Nd3 0.0815 0.4115 0.2451
Nd4 0.5885 0.9185 0.7549
Nd5 0.2487 0.2487 0.7543
Nd6 0.4115 0.0815 0.2451
Sm1 0.1666 0.8334 0.5000
Sm2 0.8334 0.1666 0.5000
Sm3 0.5000 0.5000 0.5000
Sc1 0.0000 0.0000 0.0000

=====

No. 4
## Re2PRu (PBE)

Data for an optimized crystal structure of Re2PRu.

Its formation energy from the elements is -0.15 eV/atom. The volume is 13.7 A^3/atom. As for the space group: No. 99.

Lattice parameters (Å, degrees): 2.8597 2.8597 6.7087 90.00 90.00 90.00
Positions (direct):
Re1 0.0000 0.0000 0.9688
Re2 0.5000 0.5000 0.2481
P1 0.5000 0.5000 0.7499
Ru1 0.0000 0.0000 0.5332

=====

No. 5
## Pm2Mg5Hg3 (PBE)

Data for an optimized crystal structure of Pm2Mg5Hg3.

Its formation energy from the elements is -0.31 eV/atom. The volume is 24.4 A^3/atom. As for the space group: No. 36.

Lattice parameters (Å, degrees): 4.7505 7.3801 14.0924 90.00 99.70 90.00
Positions (direct):
Pm1 0.4823 0.7669 0.9647
Pm2 0.1773 0.7142 0.3547
Pm3 0.8227 0.2142 0.6453
Pm4 0.5177 0.2669 0.0353
Mg1 0.4000 0.4177 0.7999
Mg2 0.2929 0.5122 0.5859
Mg3 0.7071 0.0122 0.4141
Mg4 0.1275 0.2372 0.2551
Mg5 0.2926 0.9088 0.5852
Mg6 0.9431 0.0891 0.8862
Mg7 0.7074 0.4088 0.4148
Mg8 0.8725 0.7372 0.7449
Mg9 0.0569 0.5891 0.1138
Mg10 0.6000 0.9177 0.2001
Hg1 0.7691 0.7101 0.5381
Hg2 0.6108 0.5230 0.2217
Hg3 0.0447 0.9856 0.0893
Hg4 0.2309 0.2101 0.4619
Hg5 0.9553 0.4856 0.9107
Hg6 0.3892 0.0230 0.7783

=====

No. 6
## NiTeBr2 (PBE)

Data for an optimized crystal structure of NiTeBr2.

The distance to the lowest polymorph of the same formula is 730 meV per atom. The volume is 26.5 A^3/atom. As for the space group: No. 47. As for the formation energy without anion corrections: 482 meV/atom.

Lattice parameters (Å, degrees): 3.5796 6.7035 4.4198 90.00 90.00 90.00
Positions (direct):
Br1 0.0000 0.0000 0.0000
Br2 0.5000 0.5000 0.0000
Ni1 0.5000 0.0000 0.5000
Te1 0.0000 0.5000 0.5000